This record from Alexandria via LeMat-Bulk describes a geometry-optimized Ba2SiAuC structure. The functional is PBEsol.

Unit cell a=3.697 b=5.834 c=5.834 alpha=90.00 beta=90.00 gamma=90.00
Element x y z (fractional)
C  0.000  0.000  0.000
Si  0.500  0.000  0.000
Au  0.500  0.500  0.500
Ba  0.000  0.000  0.500
Ba  0.000  0.500  0.000

Properties
* energy relative to the elements, uncorrected: -0.0518 eV per atom
* DOS(E_F): 0.5521 states/eV/atom
* space group: No. 123
* size of the total moment: 0.00 μB per formula unit
* E_tot: -4.774 eV/atom